[1]
DFT (PBE) results for TaSeBr after structural relaxation.

Cell and atoms, written as extended XYZ:
```
3
Lattice="-1.604 1.604 6.814 1.604 -1.604 6.814 1.604 1.604 -6.814" Properties=species:S:1:pos:R:3 pbc="T T T"
Ta 0.000 0.000 0.000
Se 0.000 0.000 8.269
Br 0.000 0.000 5.093
```

Formation energy (no corrections)   -1.4 eV/f.u.

***

[2]
DFT (PBE) results for Ta4Se8Br after structural relaxation.

Cell and atoms, written as extended XYZ:
```
26
Lattice="6.916 0.000 0.000 -3.458 5.990 0.000 0.000 0.000 18.106" Properties=species:S:1:pos:R:3 pbc="T T T"
Ta 0.000 0.000 4.527
Ta 0.000 0.000 13.580
Ta -1.688 3.018 4.527
Ta 1.688 3.018 4.527
Ta 0.000 5.942 4.527
Ta 3.458 0.047 13.580
Ta 1.770 2.971 13.580
Ta 5.146 2.971 13.580
Se 0.000 1.982 2.826
Se 0.000 1.982 6.227
Se -1.742 4.999 2.826
Se -1.742 4.999 6.227
Se 1.716 0.991 11.879
Se 1.716 0.991 15.281
Se 0.000 3.993 11.921
Se 0.000 3.993 15.239
Se 3.458 1.997 2.868
Se 3.458 1.997 6.185
Se 1.742 4.999 2.826
Se 1.742 4.999 6.227
Se 5.200 0.991 11.879
Se 5.200 0.991 15.281
Se 3.458 4.008 11.879
Se 3.458 4.008 15.281
Br 0.000 0.000 0.000
Br 0.000 0.000 9.053
```

Formation energy (no corrections)   -9.1 eV/f.u.

***

[3]
DFT (PBE) results for TaSe3Br after structural relaxation.

Cell and atoms, written as extended XYZ:
```
5
Lattice="5.026 0.000 0.000 0.000 5.026 0.000 0.000 0.000 5.026" Properties=species:S:1:pos:R:3 pbc="T T T"
Ta 0.000 0.000 0.000
Se 0.000 2.513 2.513
Se 2.513 0.000 2.513
Se 2.513 2.513 0.000
Br 2.513 2.513 2.513
```

ΔE to the lowest computed polymorph   1773 meV/atom
Formation energy (no corrections)   7.0 eV/f.u.

***

[4]
DFT (PBE) results for Ta3Se8Br6 after structural relaxation.

Cell and atoms, written as extended XYZ:
```
34
Lattice="7.989 0.000 0.000 0.127 11.446 0.000 0.552 4.127 12.312" Properties=species:S:1:pos:R:3 pbc="T T T"
Ta 0.201 11.950 1.520
Ta 0.342 12.987 4.622
Ta 3.240 8.845 9.196
Ta 5.428 6.729 3.116
Ta 8.468 3.623 10.792
Ta 8.326 2.587 7.690
Se 0.349 9.422 0.663
Se 0.540 4.064 5.461
Se 2.243 13.333 9.461
Se 2.165 4.234 8.885
Se 2.022 11.333 3.483
Se 1.918 2.068 2.540
Se 2.162 10.868 0.091
Se 2.316 2.541 5.916
Se 6.352 13.032 6.396
Se 6.506 4.705 12.221
Se 6.750 13.505 9.772
Se 6.646 4.241 8.829
Se 6.504 11.339 3.428
Se 6.425 2.241 2.851
Se 8.129 11.510 6.851
Se 8.320 6.152 11.649
Br 1.318 10.148 10.255
Br 1.509 7.329 8.066
Br 3.249 7.241 11.198
Br 3.136 10.402 7.168
Br 3.569 7.990 4.195
Br 3.797 5.250 1.946
Br 4.872 10.323 10.367
Br 5.100 7.584 8.118
Br 5.533 5.171 5.144
Br 5.420 8.332 1.115
Br 7.160 8.245 4.246
Br 7.351 5.426 2.058
```

Formation energy (no corrections)   -11.8 eV/f.u.

***

[5]
DFT (PBE) results for TaSeBr after structural relaxation.

Cell and atoms, written as extended XYZ:
```
3
Lattice="0.000 3.238 3.238 3.238 0.000 3.238 3.238 3.238 0.000" Properties=species:S:1:pos:R:3 pbc="T T T"
Ta 0.000 0.000 0.000
Se 1.619 1.619 1.619
Br 4.857 4.857 4.857
```

Formation energy (no corrections)   -0.3 eV/f.u.

***

[6]
DFT (PBE) results for Ta2Se8Br after structural relaxation.

Cell and atoms, written as extended XYZ:
```
88
Lattice="13.017 0.000 0.000 0.000 14.616 0.000 -9.690 0.000 13.320" Properties=species:S:1:pos:R:3 pbc="T T T"
Ta -2.512 1.765 3.575
Ta -7.358 5.543 10.235
Ta 0.752 9.213 3.396
Ta -4.093 12.711 10.056
Ta 0.651 1.821 4.006
Ta -4.194 5.487 10.666
Ta 4.232 2.195 3.006
Ta -0.613 5.113 9.667
Ta 3.940 9.503 3.654
Ta -0.905 12.421 10.314
Ta 7.521 9.129 2.654
Ta 2.676 12.795 9.315
Ta 7.420 1.905 3.264
Ta 2.575 5.403 9.924
Ta 10.684 9.073 3.085
Ta 5.839 12.851 9.745
Se -0.709 9.736 1.172
Se -5.554 12.188 7.832
Se -0.506 7.439 1.958
Se -5.351 14.485 8.619
Se -0.549 3.043 2.089
Se -5.394 4.265 8.749
Se -5.767 7.685 9.990
Se -0.921 14.239 3.330
Se -5.959 3.419 10.910
Se -1.114 3.889 4.250
Se -0.921 10.773 4.631
Se -5.767 11.151 11.291
Se -1.068 8.499 5.305
Se -5.913 13.425 11.965
Se -0.989 0.580 5.529
Se -5.834 6.728 12.189
Se 2.125 0.876 1.938
Se -2.720 6.432 8.599
Se 2.638 9.407 1.421
Se -2.207 12.517 8.082
Se -2.675 10.582 9.349
Se 2.170 11.342 2.689
Se 2.420 7.361 4.281
Se -2.425 14.563 10.941
Se -2.398 3.567 10.994
Se 2.447 3.741 4.334
Se 2.769 0.195 4.154
Se -2.076 7.113 10.814
Se 1.683 2.656 6.330
Se -3.162 4.652 12.990
Se 2.295 9.365 5.680
Se -2.550 12.559 12.341
Se 5.876 2.057 0.980
Se 1.031 5.251 7.640
Se 6.489 9.964 0.330
Se 1.644 11.960 6.991
Se 5.403 7.503 2.506
Se 0.558 14.421 9.166
Se 0.879 10.875 8.987
Se 5.724 11.049 2.326
Se 5.752 0.053 2.380
Se 0.906 7.255 9.040
Se 1.157 3.274 10.631
Se 6.002 4.034 3.971
Se 5.534 2.099 5.239
Se 0.689 5.209 11.899
Se 6.047 8.184 4.722
Se 1.202 13.740 11.382
Se 9.161 7.888 1.132
Se 4.316 14.036 7.792
Se 9.240 1.191 1.355
Se 4.395 6.117 8.015
Se 9.093 3.465 2.029
Se 4.248 3.843 8.689
Se 4.441 10.727 9.070
Se 9.286 11.197 2.410
Se 4.248 0.377 9.990
Se 9.093 6.931 3.330
Se 8.720 10.351 4.572
Se 3.875 11.573 11.232
Se 8.678 0.131 4.702
Se 3.832 7.177 11.362
Se 8.880 2.428 5.489
Se 4.035 4.880 12.149
Br -8.835 1.949 12.740
Br -3.990 5.359 6.079
Br -1.507 3.045 8.238
Br 3.338 4.263 1.578
Br -0.012 10.353 11.742
Br 4.834 11.571 5.082
Br 7.316 9.257 7.241
Br 12.162 12.668 0.581
```

Formation energy (no corrections)   -6.2 eV/f.u.

***

[7]
DFT (PBE) results for TaSeBr after structural relaxation.

Cell and atoms, written as extended XYZ:
```
3
Lattice="0.000 2.874 7.697 1.689 0.000 7.697 1.689 2.874 0.000" Properties=species:S:1:pos:R:3 pbc="T T T"
Ta 0.000 0.000 0.000
Se 1.689 2.874 5.800
Br 1.689 2.874 9.797
```

Formation energy (no corrections)   -0.4 eV/f.u.

***

[8]
DFT (PBE) results for Ta2SeBr after structural relaxation.

Cell and atoms, written as extended XYZ:
```
4
Lattice="1.662 0.960 9.347 -1.662 0.960 9.347 0.000 -1.919 9.347" Properties=species:S:1:pos:R:3 pbc="T T T"
Ta 0.000 0.000 0.000
Ta 0.000 0.000 7.147
Se 0.000 0.000 20.432
Br 0.000 0.000 14.665
```

ΔE to the lowest computed polymorph   0 meV/atom
Formation energy (no corrections)   -1.6 eV/f.u.

***

[9]
DFT (PBE) results for Ta2Se17Br12 after structural relaxation.

Cell and atoms, written as extended XYZ:
```
62
Lattice="12.069 0.000 0.000 -1.258 14.369 0.000 -2.586 -5.646 13.211" Properties=species:S:1:pos:R:3 pbc="T T T"
Ta 1.413 -1.532 3.617
Ta 1.147 3.293 9.585
Ta 7.078 5.429 3.626
Ta 6.812 10.254 9.594
Se -0.096 6.098 1.116
Se 0.614 3.937 1.694
Se -0.399 7.307 5.330
Se -0.631 7.140 7.664
Se -0.889 9.391 8.362
Se 0.769 3.999 4.079
Se 2.040 7.204 1.280
Se 1.737 8.767 2.921
Se 0.760 -1.581 12.085
Se -0.077 9.079 12.074
Se 1.973 7.443 5.097
Se 3.885 2.267 0.276
Se 2.733 5.170 4.474
Se 2.389 -1.974 8.777
Se 1.448 9.870 8.692
Se 2.851 -1.383 10.930
Se 1.966 9.115 10.955
Se 6.259 -0.392 2.256
Se 5.374 10.105 2.281
Se 6.777 -1.147 4.518
Se 5.836 10.696 4.434
Se 5.492 3.552 8.737
Se 4.340 6.455 12.935
Se 6.252 1.279 8.114
Se 8.302 -0.356 1.137
Se 7.465 10.304 1.125
Se 6.488 -0.045 10.290
Se 6.185 1.519 11.931
Se 7.456 4.723 9.132
Se 9.114 -0.669 4.849
Se 8.856 1.582 5.546
Se 8.624 1.416 7.881
Se 7.611 4.785 11.516
Se 8.321 2.625 12.095
Br -1.648 11.115 3.466
Br 0.239 0.055 2.081
Br 0.247 -0.501 5.631
Br -0.163 3.805 7.444
Br -0.362 1.286 9.942
Br -0.400 4.811 10.857
Br 1.367 11.798 1.644
Br 1.484 11.267 5.207
Br 3.325 0.144 3.926
Br 2.720 1.821 8.170
Br 2.685 5.261 9.117
Br 2.416 2.712 11.666
Br 5.809 6.010 1.545
Br 5.540 3.461 4.094
Br 5.504 6.902 5.041
Br 4.900 8.579 9.284
Br 6.741 -2.545 8.004
Br 6.858 -3.075 11.567
Br 8.625 3.912 2.354
Br 8.587 7.437 3.269
Br 8.388 4.918 5.767
Br 7.978 9.224 7.580
Br 7.986 8.667 11.130
Br 9.873 -2.392 9.745
```

Formation energy (no corrections)   -11.5 eV/f.u.

***

[10]
DFT (PBE) results for Ta2SeBr after structural relaxation.

Cell and atoms, written as extended XYZ:
```
8
Lattice="-3.638 3.638 3.103 3.638 -3.638 3.103 3.638 3.638 -3.103" Properties=species:S:1:pos:R:3 pbc="T T T"
Ta 5.457 1.574 -0.776
Ta 1.574 1.819 0.776
Ta -1.819 2.064 2.327
Ta 2.064 1.819 3.878
Se 0.000 0.000 0.000
Se 0.000 3.638 1.551
Br 3.638 0.000 1.551
Br 0.000 0.000 3.103
```

ΔE to the lowest computed polymorph   1132 meV/atom
Formation energy (no corrections)   2.9 eV/f.u.

***

[11]
DFT (PBE) results for Ta2SeBr after structural relaxation.

Cell and atoms, written as extended XYZ:
```
4
Lattice="-1.572 2.335 5.093 1.572 -2.335 5.093 1.572 2.335 -5.093" Properties=species:S:1:pos:R:3 pbc="T T T"
Ta 0.000 0.000 0.000
Ta 0.000 2.335 2.268
Se 1.572 0.000 2.112
Br 0.000 0.000 5.010
```

ΔE to the lowest computed polymorph   672 meV/atom
Formation energy (no corrections)   1.1 eV/f.u.

***

[12]
DFT (PBE) results for Ta2Se4Br after structural relaxation.

Cell and atoms, written as extended XYZ:
```
14
Lattice="5.073 -5.308 0.000 5.073 5.308 0.000 -3.595 0.000 6.674" Properties=species:S:1:pos:R:3 pbc="T T T"
Ta -0.544 0.000 1.861
Ta 1.766 2.068 2.539
Ta 4.785 2.068 4.134
Ta 7.095 0.000 4.813
Se 1.654 0.017 0.664
Se 2.290 2.598 4.984
Se -0.356 -0.582 4.371
Se 4.261 2.598 1.689
Se 2.177 -2.861 4.503
Se 4.897 0.017 6.010
Se 4.374 -2.861 2.170
Se 6.907 -0.582 2.302
Br 3.276 0.056 3.337
Br 5.073 -0.112 0.000
```

Formation energy (no corrections)   -3.4 eV/f.u.

***

> Which formula does entry 12 have?

Ta2Se4Br

***

> Look up the formation energy (no corrections) of the eighth one.

-1.6 eV/f.u.

***

> Which of these has the lowest formation energy (no corrections)?

Ta3Se8Br6